Record 1
A plane-wave DFT calculation with PBE was carried out for crystalline Li2CoNi at its relaxed geometry.

Cell: 4.735 4.735 2.435 Å, 90.00 90.00 119.68°
Site moments in Bohr magnetons follow the coordinates.
Sites, in units of the cell vectors:
1 Co 0.000 0.500 0.500  1.58
2 Li 0.000 0.000 0.000  -0.04
3 Li 0.500 0.500 0.000  -0.04
4 Ni 0.500 0.000 0.500  0.45

Summary:
Space-group type: Cmmm
Calculated volume in Å³/atom: 11.9
N(E_F) in states/eV per atom: 0.76
ΔE to the lowest computed polymorph in meV per atom: 136.0
ΔH_f (0 K) in eV/atom: 0.16

***

Record 2
A plane-wave DFT calculation with PBE was carried out for crystalline Co at its relaxed geometry.

Cell: 2.438 2.438 2.438 Å, 109.47 109.47 109.47°
Site moments in Bohr magnetons follow the coordinates.
Sites, in units of the cell vectors:
1 Co 0.000 0.000 0.000  1.71

Summary:
Space-group type: Im-3m
Calculated volume in Å³/atom: 11.2
N(E_F) in states/eV per atom: 3.12
ΔE to the lowest computed polymorph in meV per atom: 97.9
ΔH_f (0 K) in eV/atom: 0.10

***

Record 3
A plane-wave DFT calculation with PBE was carried out for crystalline CrReSe3 at its relaxed geometry.

Cell: 4.593 4.593 4.593 Å, 90.00 90.00 90.00°
Sites, in units of the cell vectors:
1 Re 0.500 0.500 0.500
2 Se 0.000 0.500 0.000
3 Se 0.000 0.000 0.500
4 Se 0.500 0.000 0.000
5 Cr 0.000 0.000 0.000

Summary:
Space-group type: Pm-3m
Calculated volume in Å³/atom: 19.4
N(E_F) in states/eV per atom: 1.44
ΔE to the lowest computed polymorph in meV per atom: 0.0

***

Record 4
A plane-wave DFT calculation with PBE was carried out for crystalline ScNiC3 at its relaxed geometry.

Cell: 3.772 3.772 3.772 Å, 90.00 90.00 90.00°
Sites, in units of the cell vectors:
1 Sc 0.500 0.500 0.500
2 Ni 0.000 0.000 0.000
3 C 0.000 0.500 0.000
4 C 0.000 0.000 0.500
5 C 0.500 0.000 0.000

Summary:
Space-group type: Pm-3m
Calculated volume in Å³/atom: 10.7
N(E_F) in states/eV per atom: 0.95
ΔE to the lowest computed polymorph in meV per atom: 0.0
ΔH_f (0 K) in eV/atom: 1.50

***

Record 5
A plane-wave DFT calculation with PBE was carried out for crystalline Tl3B2O4 at its relaxed geometry.

Cell: 4.550 12.786 12.786 Å, 28.87 112.46 112.46°
Sites, in units of the cell vectors:
1 Tl 0.820 0.928 0.348
2 Tl 0.680 0.652 0.072
3 Tl 0.180 0.072 0.652
4 Tl 0.320 0.348 0.928
5 Tl 0.250 0.763 0.237
6 Tl 0.750 0.237 0.763
7 B 0.486 0.162 0.378
8 B 0.014 0.622 0.838
9 B 0.514 0.838 0.622
10 B 0.986 0.378 0.162
11 O 0.384 0.032 0.381
12 O 0.116 0.619 0.968
13 O 0.616 0.968 0.619
14 O 0.884 0.381 0.032
15 O 0.229 0.233 0.344
16 O 0.271 0.656 0.767
17 O 0.771 0.767 0.656
18 O 0.729 0.344 0.233

Summary:
Space-group type: C2/c
Calculated volume in Å³/atom: 18.3
N(E_F) in states/eV per atom: 0.10
ΔE to the lowest computed polymorph in meV per atom: 0.0

***

Record 6
A plane-wave DFT calculation with PBE was carried out for crystalline HfZrGa3 at its relaxed geometry.

Cell: 7.361 7.182 7.182 Å, 88.12 89.99 89.99°
Sites, in units of the cell vectors:
1 Hf 0.250 0.888 0.112
2 Hf 0.750 0.112 0.888
3 Hf 0.250 0.388 0.612
4 Hf 0.750 0.612 0.388
5 Zr 0.926 0.669 0.831
6 Zr 0.574 0.169 0.331
7 Zr 0.074 0.331 0.169
8 Zr 0.426 0.831 0.669
9 Ga 0.604 0.778 0.041
10 Ga 0.896 0.959 0.222
11 Ga 0.396 0.222 0.959
12 Ga 0.104 0.041 0.778
13 Ga 0.721 0.431 0.068
14 Ga 0.779 0.932 0.569
15 Ga 0.279 0.569 0.932
16 Ga 0.221 0.068 0.431
17 Ga 0.604 0.459 0.721
18 Ga 0.896 0.279 0.541
19 Ga 0.396 0.541 0.279
20 Ga 0.104 0.721 0.459

Summary:
Space-group type: Cmce
Calculated volume in Å³/atom: 19.0
N(E_F) in states/eV per atom: 0.40
ΔE to the lowest computed polymorph in meV per atom: 0.0
ΔH_f (0 K) in eV/atom: -0.38

***

Question: What is the formula in the fourth record?
Answer: ScNiC3